(1)
DFT (GGA-PBE) results for crystalline Sc8Zn2Rh at its relaxed geometry.

It has space group C2/m (No. 12), with a = 7.836 Å, b = 13.047 Å, c = 5.154 Å, α = 90.00°, β = 115.57° and γ = 90.00°. The distinct sites, in fractional coordinates, are Sc at (0.000, 0.199, 0.000), Sc at (0.133, 0.500, 0.792), Sc at (0.218, 0.117, 0.633), Zn at (0.000, 0.300, 0.500) and Rh at (0.000, 0.000, 0.000).

Its crystal system is monoclinic. The calculation puts the energy above the most stable polymorph in this dataset at 10.3 kJ per mole of atoms. The calculated formation energy is -2.24 eV per formula unit.

=====

(2)
DFT (GGA-PBE) results for crystalline ScZnRh at its relaxed geometry.

It has space group F-43m (No. 216), with a = 6.171 Å, b = 6.171 Å, c = 6.171 Å, α = 90.00°, β = 90.00° and γ = 90.00°. The distinct sites, in fractional coordinates, are Sc at (0.000, 0.000, 0.000), Zn at (0.250, 0.250, 0.250) and Rh at (0.250, 0.250, 0.750).

Its crystal system is cubic. The calculated formation energy is -0.19 eV per formula unit.

=====

(3)
DFT (GGA-PBE) results for crystalline Sc4ZnRh5 at its relaxed geometry.

It has space group P4/mmm (No. 123), with a = 3.205 Å, b = 3.205 Å, c = 15.741 Å, α = 90.00°, β = 90.00° and γ = 90.00°. The distinct sites, in fractional coordinates, are Sc at (0.000, 0.000, 0.104), Sc at (0.000, 0.000, 0.311), Zn at (0.000, 0.000, 0.500), Rh at (0.500, 0.500, 0.000), Rh at (0.500, 0.500, 0.205) and Rh at (0.500, 0.500, 0.408).

Its crystal system is tetragonal. The calculated formation energy is -9.27 eV per formula unit.